1.
Entry from the Alexandria database: crystalline TbThTiIn at its relaxed geometry (PBE).

abc: 7.557 7.557 7.557
angles: 90.00 90.00 90.00
Space group F-43m (No. 216)
Inequivalent atoms, fractional coordinates:
Tb (0.000, 0.000, 0.000) [4 per cell]
Th (0.000, 0.000, 0.500) [4 per cell]
Ti (0.250, 0.250, 0.250) [4 per cell]
In (0.250, 0.250, 0.750) [4 per cell]

## Properties
ΔH_f (0 K)	0.00	eV per atom
density of states at the Fermi level	1.503	states/eV per atom
DFT total energy	-5.67	eV per atom

---

2.
Entry from the Alexandria database: crystalline TbThTlIn at its relaxed geometry (PBE).

abc: 7.702 7.702 7.702
angles: 90.00 90.00 90.00
Space group F-43m (No. 216)
Inequivalent atoms, fractional coordinates:
Tb (0.000, 0.000, 0.000) [4 per cell]
Th (0.000, 0.000, 0.500) [4 per cell]
Tl (0.250, 0.250, 0.750) [4 per cell]
In (0.250, 0.250, 0.250) [4 per cell]

## Properties
polymorph energy (0 for the lowest one)	0.035	eV per atom
ΔH_f (0 K)	-0.25	eV per atom
density of states at the Fermi level	0.949	states/eV per atom
DFT total energy	-4.54	eV per atom

---

3.
Entry from the Alexandria database: crystalline TbThTlIn at its relaxed geometry (PBE).

abc: 5.056 5.056 8.824
angles: 90.00 90.00 90.00
Space group I-4m2 (No. 119)
Inequivalent atoms, fractional coordinates:
Tb (0.000, 0.000, 0.000) [2 per cell]
Th (0.000, 0.000, 0.500) [2 per cell]
Tl (0.000, 0.500, 0.250) [2 per cell]
In (0.000, 0.500, 0.750) [2 per cell]

## Properties
polymorph energy (0 for the lowest one)	0.000	eV per atom
ΔH_f (0 K)	-0.29	eV per atom
density of states at the Fermi level	1.008	states/eV per atom
DFT total energy	-4.57	eV per atom

---

4.
Entry from the Alexandria database: crystalline Tb2ThZn2In2 at its relaxed geometry (PBE).

abc: 4.6759 4.6759 28.6905
angles: 90.00 90.00 120.00
Space group R-3m (No. 166, hexagonal axes)
Inequivalent atoms, fractional coordinates:
Tb (0.0000, 0.0000, 0.1284) [6 per cell]
Th (0.0000, 0.0000, 0.0000) [3 per cell]
Zn (0.0000, 0.0000, 0.3943) [6 per cell]
In (0.0000, 0.0000, 0.2587) [6 per cell]

## Properties
ΔH_f (0 K)	-0.22	eV per atom
density of states at the Fermi level	0.686	states/eV per atom
DFT total energy	-3.75	eV per atom

---

5.
Entry from the Alexandria database: crystalline TbTiIn2 at its relaxed geometry (PBE).

abc: 3.3272 3.3272 30.0463
angles: 90.00 90.00 120.00
Space group R-3m (No. 166, hexagonal axes)
Inequivalent atoms, fractional coordinates:
Tb (0.0000, 0.0000, 0.0000) [3 per cell]
Ti (0.0000, 0.0000, 0.5000) [3 per cell]
In (0.0000, 0.0000, 0.2429) [6 per cell]

## Properties
ΔH_f (0 K)	-0.06	eV per atom
density of states at the Fermi level	1.081	states/eV per atom
DFT total energy	-4.56	eV per atom

---

6.
Entry from the Alexandria database: crystalline TbTiIn2 at its relaxed geometry (PBE).

abc: 4.536 4.536 4.508
angles: 90.00 90.00 90.00
Space group P4/mmm (No. 123)
Inequivalent atoms, fractional coordinates:
Tb (0.000, 0.000, 0.000) [1 per cell]
Ti (0.500, 0.500, 0.000) [1 per cell]
In (0.000, 0.500, 0.500) [2 per cell]

## Properties
ΔH_f (0 K)	-0.23	eV per atom
density of states at the Fermi level	0.620	states/eV per atom
DFT total energy	-4.73	eV per atom

---

7.
Entry from the Alexandria database: crystalline TbTiIn at its relaxed geometry (PBE).

abc: 4.286 4.286 8.114
angles: 90.00 90.00 90.00
Space group P4/nmm (No. 129, origin choice 2)
Inequivalent atoms, fractional coordinates:
Tb (0.250, 0.250, 0.160) [2 per cell]
Ti (0.250, 0.750, 0.500) [2 per cell]
In (0.250, 0.250, 0.749) [2 per cell]

## Properties
polymorph energy (0 for the lowest one)	0.000	eV per atom
ΔH_f (0 K)	-0.18	eV per atom
density of states at the Fermi level	1.370	states/eV per atom
DFT total energy	-5.27	eV per atom

---

8.
Entry from the Alexandria database: crystalline TbTiIn at its relaxed geometry (PBE).

abc: 3.374 3.374 12.445
angles: 90.00 90.00 90.00
Space group I4mm (No. 107)
Inequivalent atoms, fractional coordinates:
Tb (0.000, 0.000, 0.000) [2 per cell]
Ti (0.000, 0.000, 0.331) [2 per cell]
In (0.000, 0.000, 0.688) [2 per cell]

## Properties
polymorph energy (0 for the lowest one)	0.089	eV per atom
ΔH_f (0 K)	-0.10	eV per atom
density of states at the Fermi level	1.228	states/eV per atom
DFT total energy	-5.18	eV per atom